The following is a DFT calculation (GGA-PBE) of a relaxed structure of TbTcW. Values from VASP.

Quantum ESPRESSO input file:
```
&SYSTEM
  ibrav = 0, nat = 6, ntyp = 3
/
ATOMIC_SPECIES
Tb 158.93 Tb.upf
W 183.84 W.upf
Tc 98.00 Tc.upf
CELL_PARAMETERS angstrom
-4.5699 -1.8906 -1.3768
3.5531 -3.6005 0.8752
-0.8176 2.5666 4.8978
ATOMIC_POSITIONS crystal
Tb 0.6708 0.3292 0.0000
W 0.8445 0.8445 0.6891
W 0.1555 0.1555 0.3109
Tb 0.3292 0.6708 0.0000
Tc 0.7500 0.2500 0.5000
Tc 0.2500 0.7500 0.5000
```

Values from the calculation:
The space group is Fmmm. Its formation energy is 0.325 eV per atom. The value obtained for the density is 12.6 g/cm³.